(1)
A relaxed structure of Y3Os. Source: Alexandria, functional PBE.

a = 3.6817 Å, b = 3.6817 Å, c = 9.6930 Å
α = 90.00°, β = 90.00°, γ = 120.00°
With the nearest neighbours (Å) after each atom.
Positions (direct):
Os (0.0000, 0.0000, 0.0000)  6 Y 2.81
Y (0.0000, 0.0000, 0.5000)  12 Y 3.68
Y (0.3333, 0.6667, 0.1900)  3 Os 2.81
Y (0.3333, 0.6667, 0.8100)  3 Os 2.81

As for the spin magnetization: 0.5 μB/f.u. As for the volume: 28.45 Å³/atom. As for the space group: P-6m2 (187). As for the raw total energy: -29.95 eV per cell. The energy relative to the elements is 0.169 eV/atom.

=====

(2)
A relaxed structure of TbPm2ZrAs4. Source: Alexandria, functional PBE.

a = 4.1073 Å, b = 7.1146 Å, c = 7.1239 Å
α = 109.28°, β = 90.00°, γ = 90.00°
With the nearest neighbours (Å) after each atom.
Positions (direct):
Tb (0.5000, 0.5000, 0.0000)  6 As 2.88-2.89
Pm (0.5000, 0.0000, 0.5000)  6 As 2.93-2.94
Pm (0.0000, 0.5000, 0.5000)  6 As 3.00
Zr (0.0000, 0.0000, 0.0000)  6 As 2.81-2.82
As (0.5000, 0.2369, 0.2328)  2 Zr 2.82, 1 Tb 2.88, 3 Pm 2.93-3.00
As (0.5000, 0.7631, 0.7672)  2 Zr 2.82, 1 Tb 2.88, 3 Pm 2.93-3.00
As (0.0000, 0.2460, 0.7624)  1 Zr 2.81, 2 Tb 2.89, 3 Pm 2.94-3.00
As (0.0000, 0.7540, 0.2376)  1 Zr 2.81, 2 Tb 2.89, 3 Pm 2.94-3.00

As for the spin magnetization: 0.0 μB/f.u. As for the volume: 24.56 Å³/atom. As for the space group: P2/m (10). As for the raw total energy: -52.67 eV per cell. The energy relative to the elements is -1.424 eV/atom.

=====

(3)
A relaxed structure of BeFeAu2. Source: Alexandria, functional PBE.

a = 8.3579 Å, b = 8.3579 Å, c = 8.3579 Å
α = 19.80°, β = 19.80°, γ = 19.80°
With the nearest neighbours (Å) after each atom.
Positions (direct):
Be (0.2500, 0.2500, 0.2500)  6 Au 2.49
Au (0.9920, 0.9920, 0.9920)  3 Be 2.49
Au (0.5080, 0.5080, 0.5080)  3 Be 2.49
Fe (0.7500, 0.7500, 0.7500)  6 Au 2.79, 6 Fe 2.87

As for the spin magnetization: 2.9 μB/f.u. As for the volume: 14.65 Å³/atom. As for the space group: R-3m (166). As for the raw total energy: -18.05 eV per cell. The energy relative to the elements is 0.173 eV/atom.

=====

(4)
A relaxed structure of DyHgPdRh. Source: Alexandria, functional PBE.

a = 4.7429 Å, b = 4.7429 Å, c = 4.7429 Å
α = 60.00°, β = 60.00°, γ = 60.00°
With the nearest neighbours (Å) after each atom.
Positions (direct):
Rh (0.0000, 0.0000, 0.0000)  4 Hg 2.90, 4 Dy 2.90
Hg (0.2500, 0.2500, 0.2500)  4 Rh 2.90, 4 Pd 2.90
Pd (0.5000, 0.5000, 0.5000)  4 Hg 2.90, 4 Dy 2.90
Dy (0.7500, 0.7500, 0.7500)  4 Rh 2.90, 4 Pd 2.90

As for the spin magnetization: 0.0 μB/f.u. As for the volume: 18.86 Å³/atom. As for the space group: F-43m (216). As for the raw total energy: -19.84 eV per cell. The energy relative to the elements is -0.599 eV/atom.